(1)
Compound: TlSb2Pt2
Source: Alexandria via LeMat-Bulk
Functional: GGA-PBE
Structure: relaxed

a = 8.4759 Å, b = 8.4759 Å, c = 3.1472 Å
α = 90.00°, β = 90.00°, γ = 90.00°
Closest atoms and distances in Å follow each position.
Space group P4/mbm (No. 127)
Asymmetric unit:
Tl: 0.0000 0.0000 0.0000 [2 per cell]  2 Tl 3.15, 4 Sb 3.25
Sb: 0.1452 0.3548 0.0000 [4 per cell]  6 Pt 2.85-3.08, 2 Sb 3.15
Pt: 0.1344 0.6344 0.5000 [4 per cell]  6 Sb 2.85-3.08, 2 Pt 3.15

Calculated values
crystal system: tetragonal
total energy: -4.58 eV/atom

(2)
Compound: Tl2SbPt
Source: Alexandria via LeMat-Bulk
Functional: GGA-PBE
Structure: relaxed

a = 6.2867 Å, b = 9.3078 Å, c = 3.3243 Å
α = 90.00°, β = 90.00°, γ = 90.00°
Closest atoms and distances in Å follow each position.
Space group Cmmm (No. 65)
Asymmetric unit:
Tl: 0.2500 0.2500 0.0000 [4 per cell]  4 Tl 3.14-3.32, 4 Sb 3.26, 4 Pt 3.26
Sb: 0.0000 0.0000 0.5000 [2 per cell]  2 Pt 3.14, 8 Tl 3.26, 2 Sb 3.32
Pt: 0.0000 0.5000 0.5000 [2 per cell]  2 Sb 3.14, 8 Tl 3.26, 2 Pt 3.32

Calculated values
crystal system: orthorhombic
total energy: -3.48 eV/atom

(3)
Compound: Tl2SbPt
Source: Alexandria via LeMat-Bulk
Functional: GGA-PBE
Structure: relaxed

a = 5.1093 Å, b = 5.1093 Å, c = 7.4214 Å
α = 90.00°, β = 90.00°, γ = 90.00°
Closest atoms and distances in Å follow each position.
Space group I-4m2 (No. 119)
Asymmetric unit:
Tl: 0.0000 0.0000 0.0000 [2 per cell]  4 Tl 3.16, 4 Pt 3.16
Tl: 0.0000 0.5000 0.2500 [2 per cell]  4 Tl 3.16, 4 Sb 3.16
Sb: 0.0000 0.0000 0.5000 [2 per cell]  4 Tl 3.16, 4 Pt 3.16
Pt: 0.0000 0.5000 0.7500 [2 per cell]  4 Tl 3.16, 4 Sb 3.16

Calculated values
crystal system: tetragonal
total energy: -3.57 eV/atom

(4)
Compound: Tl2SbPt2
Source: Alexandria via LeMat-Bulk
Functional: GGA-PBE
Structure: relaxed

a = 4.1560 Å, b = 4.1560 Å, c = 13.1559 Å
α = 90.00°, β = 90.00°, γ = 90.00°
Closest atoms and distances in Å follow each position.
Space group I4/mmm (No. 139)
Asymmetric unit:
Tl: 0.0000 0.5000 0.2500 [4 per cell]  4 Pt 2.87, 4 Tl 2.94
Sb: 0.0000 0.0000 0.0000 [2 per cell]  8 Pt 3.22
Pt: 0.0000 0.0000 0.4001 [4 per cell]  1 Pt 2.63, 4 Tl 2.87

Calculated values
crystal system: tetragonal
total energy: -4.01 eV/atom

(5)
Compound: TlSbPt2
Source: Alexandria via LeMat-Bulk
Functional: GGA-PBE
Structure: relaxed

a = 6.8673 Å, b = 6.8673 Å, c = 6.8673 Å
α = 90.00°, β = 90.00°, γ = 90.00°
Closest atoms and distances in Å follow each position.
Space group F-43m (No. 216)
Asymmetric unit:
Tl: 0.0000 0.0000 0.0000 [4 per cell]  4 Pt 2.97, 4 Sb 2.97
Sb: 0.2500 0.2500 0.7500 [4 per cell]  4 Tl 2.97, 4 Pt 2.97
Pt: 0.0000 0.0000 0.5000 [4 per cell]  4 Sb 2.97, 4 Pt 2.97
Pt: 0.2500 0.2500 0.2500 [4 per cell]  4 Tl 2.97, 4 Pt 2.97

Calculated values
crystal system: cubic
total energy: -4.40 eV/atom

(6)
Compound: Tl2SbPt
Source: Alexandria via LeMat-Bulk
Functional: GGA-PBE
Structure: relaxed

a = 3.5285 Å, b = 3.7677 Å, c = 8.2079 Å
α = 90.00°, β = 101.60°, γ = 90.00°
Closest atoms and distances in Å follow each position.
Space group Pm (No. 6)
Asymmetric unit:
Tl: 0.0000 0.0000 0.0000 [1 per cell]  4 Pt 2.94-2.95
Tl: 0.3441 0.5000 0.7023 [1 per cell]  8 Tl 3.49-3.77, 4 Sb 3.53-3.55, 1 Pt 3.81
Sb: 0.6960 0.0000 0.4004 [1 per cell]  2 Pt 2.61
Pt: 0.5842 0.5000 0.1755 [1 per cell]  2 Sb 2.61

Calculated values
crystal system: monoclinic
total energy: -3.77 eV/atom

(7)
Compound: TlSbPt2
Source: Alexandria via LeMat-Bulk
Functional: GGA-PBE
Structure: relaxed

a = 8.6034 Å, b = 7.2686 Å, c = 5.5549 Å
α = 90.00°, β = 90.00°, γ = 90.00°
Closest atoms and distances in Å follow each position.
Space group Pbcm (No. 57)
Asymmetric unit:
Tl: 0.1181 0.0963 0.2500 [4 per cell]  6 Pt 2.89-2.94
Sb: 0.3745 0.5767 0.2500 [4 per cell]  6 Pt 2.71-2.76
Pt: 0.1466 0.7500 0.0000 [4 per cell]  2 Sb 2.71, 2 Pt 2.78, 4 Tl 2.89
Pt: 0.3905 0.2500 0.0000 [4 per cell]  4 Sb 2.75-2.76, 2 Pt 2.78, 2 Tl 2.94

Calculated values
crystal system: orthorhombic
total energy: -4.96 eV/atom

(8)
Compound: TlSbPt2
Source: Alexandria via LeMat-Bulk
Functional: GGA-PBE
Structure: relaxed

a = 3.4721 Å, b = 3.6773 Å, c = 13.6189 Å
α = 90.00°, β = 90.00°, γ = 90.00°
Closest atoms and distances in Å follow each position.
Space group Imm2 (No. 44)
Asymmetric unit:
Tl: 0.0000 0.0000 0.0000 [2 per cell]  6 Pt 2.89-2.93
Sb: 0.0000 0.5000 0.2541 [2 per cell]  6 Pt 2.70-2.74
Pt: 0.0000 0.0000 0.6021 [2 per cell]  2 Sb 2.70, 4 Tl 2.89
Pt: 0.0000 0.5000 0.8323 [2 per cell]  4 Sb 2.74, 2 Tl 2.93

Calculated values
crystal system: orthorhombic
total energy: -4.70 eV/atom

(9)
Compound: TlSbPt2
Source: Alexandria via LeMat-Bulk
Functional: GGA-PBE
Structure: relaxed

a = 8.4528 Å, b = 3.6840 Å, c = 6.2892 Å
α = 90.00°, β = 104.84°, γ = 90.00°
Closest atoms and distances in Å follow each position.
Space group Cm (No. 8)
Asymmetric unit:
Tl: 0.0000 0.0000 0.0000 [2 per cell]  3 Pt 2.86-2.93
Sb: 0.2763 0.5000 0.4261 [2 per cell]  5 Pt 2.66-2.86
Pt: 0.0048 0.5000 0.5704 [2 per cell]  3 Sb 2.66-2.67, 3 Pt 2.76-2.78
Pt: 0.2459 0.0000 0.7620 [2 per cell]  3 Pt 2.76-2.78, 3 Tl 2.86-2.93, 2 Sb 2.86

Calculated values
crystal system: monoclinic
total energy: -4.75 eV/atom

(10)
Compound: TlSbPt2
Source: Alexandria via LeMat-Bulk
Functional: GGA-PBE
Structure: relaxed

a = 4.1318 Å, b = 4.1318 Å, c = 19.6073 Å
α = 90.00°, β = 90.00°, γ = 120.00°
Closest atoms and distances in Å follow each position.
Space group R3m (No. 160, hexagonal axes)
Asymmetric unit:
Tl: 0.0000 0.0000 0.0000 [3 per cell]  3 Pt 2.84
Sb: 0.0000 0.0000 0.1997 [3 per cell]  3 Pt 2.64
Pt: 0.0000 0.0000 0.4755 [3 per cell]  3 Sb 2.64, 3 Pt 2.69
Pt: 0.0000 0.0000 0.7455 [3 per cell]  3 Pt 2.69, 3 Tl 2.84

Calculated values
crystal system: trigonal
total energy: -4.74 eV/atom

(11)
Compound: Tl2SbPt
Source: Alexandria via LeMat-Bulk
Functional: GGA-PBE
Structure: relaxed

a = 4.2650 Å, b = 4.2650 Å, c = 5.4369 Å
α = 90.00°, β = 90.00°, γ = 90.00°
Closest atoms and distances in Å follow each position.
Space group P4/mmm (No. 123)
Asymmetric unit:
Tl: 0.0000 0.5000 0.0000 [2 per cell]  4 Tl 3.02
Sb: 0.0000 0.0000 0.5000 [1 per cell]  4 Pt 3.02
Pt: 0.5000 0.5000 0.5000 [1 per cell]  4 Sb 3.02

Calculated values
crystal system: tetragonal
total energy: -3.55 eV/atom

(12)
Compound: TlSbPt6
Source: Alexandria via LeMat-Bulk
Functional: GGA-PBE
Structure: relaxed

a = 4.0959 Å, b = 4.0959 Å, c = 8.1408 Å
α = 90.00°, β = 90.00°, γ = 90.00°
Closest atoms and distances in Å follow each position.
Space group P4/mmm (No. 123)
Asymmetric unit:
Tl: 0.0000 0.0000 0.0000 [1 per cell]  12 Pt 2.90-2.92
Sb: 0.0000 0.0000 0.5000 [1 per cell]  12 Pt 2.85-2.90
Pt: 0.0000 0.5000 0.2562 [4 per cell]  2 Sb 2.85, 8 Pt 2.85-2.92, 2 Tl 2.92
Pt: 0.5000 0.5000 0.0000 [1 per cell]  4 Tl 2.90, 8 Pt 2.92
Pt: 0.5000 0.5000 0.5000 [1 per cell]  8 Pt 2.85, 4 Sb 2.90

Calculated values
crystal system: tetragonal
total energy: -5.49 eV/atom